[1]
Density functional theory data (GGA-PBE) for a relaxed structure of Nd5ThIn6.

Summary:
**Final energy**: -4.4177 eV/atom
**Size of the total moment**: 0.00 μB per cell
**E_form**: -5.3 eV/f.u.

Lattice parameters (Å, degrees): 17.310 7.734 5.481 90.00 108.08 90.00
Space group C2/m (No. 12)
One atom of each set of equivalent atoms:
Nd 0.000 0.000 0.000 [2 per cell]
Nd 0.162 0.500 0.663 [4 per cell]
Nd 0.170 0.000 0.670 [4 per cell]
Th 0.000 0.500 0.000 [2 per cell]
In 0.000 0.242 0.500 [4 per cell]
In 0.168 0.246 0.169 [8 per cell]

---

[2]
Density functional theory data (GGA-PBE) for a relaxed structure of Bi2PbAu4.

Summary:
**Final energy**: -3.5378 eV/atom
**Size of the total moment**: 0.00 μB per cell
**E_form**: -0.2 eV/f.u.

Lattice parameters (Å, degrees): 3.912 4.466 19.770 90.00 90.00 90.00
Space group Immm (No. 71)
One atom of each set of equivalent atoms:
Bi 0.000 0.000 0.187 [4 per cell]
Pb 0.000 0.500 0.000 [2 per cell]
Au 0.000 0.000 0.341 [4 per cell]
Au 0.000 0.500 0.432 [4 per cell]

---

[3]
Density functional theory data (GGA-PBE) for a relaxed structure of AcTb2Ag.

Summary:
**Final energy**: -4.1581 eV/atom
**Size of the total moment**: 0.00 μB per cell
**E_form**: -0.4 eV/f.u.

Lattice parameters (Å, degrees): 3.735 3.735 8.862 90.00 90.00 90.00
Space group P4/mmm (No. 123)
One atom of each set of equivalent atoms:
Ac 0.000 0.000 0.000 [1 per cell]
Tb 0.500 0.500 0.302 [2 per cell]
Ag 0.000 0.000 0.500 [1 per cell]